Computed, not measured: a relaxed structure of Zn4NiHg at the PBE level of DFT.

Geometry as POSCAR:
```
Zn4NiHg
1.0
0.000 3.572 3.572
3.572 0.000 3.572
3.572 3.572 0.000
Zn Ni Hg
4 1 1
Cartesian
0.887 0.887 0.887
2.684 2.684 0.887
2.684 0.887 2.684
0.887 2.684 2.684
5.358 5.358 5.358
3.572 3.572 3.572
```

***

Computed, not measured: a relaxed structure of Zn2NiHg at the PBE level of DFT.

Geometry as POSCAR:
```
Zn2NiHg
1.0
3.933 0.000 0.000
0.000 3.933 0.000
0.000 0.000 3.937
Zn Ni Hg
2 1 1
Cartesian
0.000 1.966 0.000
1.966 0.000 0.000
0.000 0.000 1.969
1.966 1.966 1.969
```

***

What are the E_tot values for these records? In order: -1.74; -2.11 eV per atom.
What are the ΔE_f values for these records? In order: 0.123; 0.051 eV per atom.
What are the calculated volume values for these records? In order: 91.1; 60.9 Å³/f.u..